Material: YCuBr2
Method: DFT, GGA-PBE
State: optimized geometry

Properties
- Uncorrected formation energy: -916 meV/atom
- DFT total energy: -4.3922 eV/atom
- SG: R3m, No. 160
- Relative energy among the computed polymorphs: 0.000 eV per atom

a = 8.727 Å, b = 8.727 Å, c = 8.727 Å
α = 26.62°, β = 26.62°, γ = 26.62°
Sites, in units of the cell vectors:
Y: 0.000 0.000 0.000
Cu: 0.271 0.271 0.271
Br: 0.556 0.556 0.556
Br: 0.739 0.739 0.739